[1]
DFT (PBE) results for Na3LiH6Pd2 after structural relaxation.

Its spin magnetization is 0.00 μB per atom. The total energy is -3.1533 eV/atom.

The structure belongs to space group P-3m1 (No. 164); the cell edges are 5.1177, 5.1177 and 5.9002 Å and the angles 90.00°, 90.00° and 120.00°. The asymmetric unit holds Na at (0.0000, 0.0000, 0.0000), Na at (0.3333, 0.6667, 0.6523), Li at (0.0000, 0.0000, 0.5000), H at (0.1705, 0.3409, 0.2918) and Pd at (0.3333, 0.6667, 0.1443).

[2]
DFT (PBE) results for Na2LiH6Pd after structural relaxation.

Its spin magnetization is 0.00 μB per atom. The total energy is -3.1857 eV/atom.

The structure belongs to space group P-3m1 (No. 164); the cell edges are 5.0662, 5.0662 and 4.9488 Å and the angles 90.00°, 90.00° and 120.00°. The asymmetric unit holds Na at (0.3333, 0.6667, 0.1977), Li at (0.0000, 0.0000, 0.5000), H at (0.1559, 0.3118, 0.7927) and Pd at (0.0000, 0.0000, 0.0000).

[3]
DFT (PBE) results for NaLi2H4Pd after structural relaxation.

Its spin magnetization is 0.00 μB per atom. The total energy is -3.2408 eV/atom.

The structure belongs to space group Cmcm (No. 63); the cell edges are 2.8973, 11.0413 and 10.3853 Å and the angles 90.00°, 90.00° and 90.00°. The asymmetric unit holds Na at (0.0000, 0.0508, 0.2500), Li at (0.0000, 0.3722, 0.0363), H at (0.0000, 0.0000, 0.0000), H at (0.0000, 0.2414, 0.5910), H at (0.0000, 0.3805, 0.2500) and Pd at (0.0000, 0.2193, 0.7500).

[4]
DFT (PBE) results for Na2LiH4Pd after structural relaxation.

Its spin magnetization is 0.00 μB per atom. The total energy is -3.0561 eV/atom.

The structure belongs to space group Fddd (No. 70, origin choice 2); the cell edges are 4.8918, 10.6892 and 17.1815 Å and the angles 90.00°, 90.00° and 90.00°. The asymmetric unit holds Na at (0.1250, 0.1250, 0.3002), Li at (0.1250, 0.1250, 0.1250), H at (0.1060, 0.2635, 0.8492) and Pd at (0.1250, 0.1250, 0.6250).

[5]
DFT (PBE) results for Na2LiHPd after structural relaxation.

Its spin magnetization is 0.00 μB per atom. The total energy is -2.7006 eV/atom.

The structure belongs to space group P4/mmm (No. 123); the cell edges are 4.9814, 4.9814 and 3.6041 Å and the angles 90.00°, 90.00° and 90.00°. The asymmetric unit holds Na at (0.0000, 0.5000, 0.0000), Li at (0.0000, 0.0000, 0.5000), H at (0.5000, 0.5000, 0.0000) and Pd at (0.5000, 0.5000, 0.5000).

[6]
DFT (PBE) results for Na2Li3H6Pd after structural relaxation.

Its spin magnetization is 0.00 μB per atom. The total energy is -3.0628 eV/atom.

The structure belongs to space group C2/m (No. 12); the cell edges are 5.4153, 9.1423 and 5.5519 Å and the angles 90.00°, 114.04° and 90.00°. The asymmetric unit holds Na at (0.0000, 0.1605, 0.0000), Li at (0.0000, 0.0000, 0.5000), Li at (0.0000, 0.3642, 0.5000), H at (0.1993, 0.3681, 0.2298), H at (0.2325, 0.0000, 0.3119) and Pd at (0.0000, 0.5000, 0.0000).

[7]
DFT (PBE) results for NaLiH4Pd after structural relaxation.

Its spin magnetization is 0.00 μB per atom. The total energy is -3.3856 eV/atom.

The structure belongs to space group I4mm (No. 107); the cell edges are 3.6254, 3.6254 and 10.8015 Å and the angles 90.00°, 90.00° and 90.00°. The asymmetric unit holds Na at (0.0000, 0.0000, 0.0000), Li at (0.0000, 0.0000, 0.7289), H at (0.0000, 0.0000, 0.1939), H at (0.0000, 0.0000, 0.5114), H at (0.0000, 0.5000, 0.3442) and Pd at (0.0000, 0.0000, 0.3483).

[8]
DFT (PBE) results for Na4LiH12Pd3 after structural relaxation.

Its spin magnetization is 0.00 μB per atom. The total energy is -3.4091 eV/atom.

The structure belongs to space group Im-3m (No. 229); the cell edges are 7.2469, 7.2469 and 7.2469 Å and the angles 90.00°, 90.00° and 90.00°. The asymmetric unit holds Na at (0.2500, 0.2500, 0.2500), Li at (0.0000, 0.0000, 0.0000), H at (0.0000, 0.0000, 0.2672), H at (0.0000, 0.2500, 0.5000) and Pd at (0.0000, 0.0000, 0.5000).